Material: Li2YAl2Hg2
Method: DFT, GGA-PBE
State: relaxed

## Properties
The space group is No. 12. The value obtained for the total DFT energy (no corrections) is -2.95 eV/atom. The calculated formation energy is -326 meV per atom. The value obtained for the density of states at the Fermi level is 3.66 states/eV per cell.

abc: 4.635 4.608 7.950
angles: 107.52 90.00 120.19
Sites, in units of the cell vectors:
1 Li 0.144 0.288 0.426
2 Li 0.856 0.712 0.574
3 Y 0.000 0.000 0.000
4 Al 0.567 0.134 0.706
5 Al 0.433 0.866 0.294
6 Hg 0.740 0.480 0.216
7 Hg 0.260 0.520 0.784